Record 1
First-principles (PBE) data for Ta2Si2Pd after structural relaxation, as listed in OQMD via LeMat-Bulk.

Lattice parameters (Å, degrees): 6.832 6.832 6.832 149.69 149.69 43.39
Positions (direct):
1 Si 0.250 0.750 0.500
2 Si 0.750 0.250 0.500
3 Pd 0.000 0.000 0.000
4 Ta 0.602 0.602 0.000
5 Ta 0.398 0.398 0.000

Values from the calculation:
Calculated volume   81.0 Å³ per cell
E   -7.92 eV per atom

Record 2
First-principles (PBE) data for TaSiPd2 after structural relaxation, as listed in OQMD via LeMat-Bulk.

Lattice parameters (Å, degrees): 4.413 4.413 4.413 60.00 60.00 60.00
Positions (direct):
1 Ta 0.250 0.250 0.250
2 Pd 0.750 0.750 0.750
3 Pd 0.000 0.000 0.000
4 Si 0.500 0.500 0.500

Values from the calculation:
Calculated volume   60.8 Å³ per cell
E   -7.23 eV per atom

Record 3
First-principles (PBE) data for Ta2Si3Pd2 after structural relaxation, as listed in OQMD via LeMat-Bulk.

Lattice parameters (Å, degrees): 8.123 8.123 8.123 29.29 29.29 29.29
Positions (direct):
1 Pd 0.999 0.999 0.999
2 Pd 0.499 0.499 0.499
3 Si 0.859 0.859 0.859
4 Si 0.633 0.633 0.633
5 Si 0.385 0.385 0.385
6 Ta 0.247 0.247 0.247
7 Ta 0.752 0.752 0.752

Values from the calculation:
Calculated volume   113.5 Å³ per cell
E   -7.36 eV per atom

Record 4
First-principles (PBE) data for Tb6SiPd2 after structural relaxation, as listed in OQMD via LeMat-Bulk.

Lattice parameters (Å, degrees): 7.835 7.835 4.284 90.00 90.00 120.00
Positions (direct):
1 Si 0.000 0.000 0.000
2 Tb 0.398 0.398 0.000
3 Tb 0.738 0.738 0.500
4 Tb 0.262 0.000 0.500
5 Tb 0.602 0.000 0.000
6 Tb 0.000 0.262 0.500
7 Tb 0.000 0.602 0.000
8 Pd 0.667 0.333 0.500
9 Pd 0.333 0.667 0.500

Values from the calculation:
Calculated volume   227.8 Å³ per cell
E   -5.36 eV per atom

Record 5
First-principles (PBE) data for Tb3Si3Pd2 after structural relaxation, as listed in OQMD via LeMat-Bulk.

Lattice parameters (Å, degrees): 5.654 5.654 14.174 90.00 90.00 135.67
Positions (direct):
1 Tb 0.587 0.413 0.611
2 Tb 0.135 0.865 0.250
3 Tb 0.587 0.413 0.889
4 Tb 0.865 0.135 0.750
5 Tb 0.413 0.587 0.111
6 Tb 0.413 0.587 0.389
7 Pd 0.295 0.705 0.594
8 Pd 0.705 0.295 0.406
9 Pd 0.295 0.705 0.906
10 Pd 0.705 0.295 0.094
11 Si 0.839 0.161 0.250
12 Si 0.895 0.105 0.961
13 Si 0.105 0.895 0.039
14 Si 0.895 0.105 0.539
15 Si 0.105 0.895 0.461
16 Si 0.161 0.839 0.750

Values from the calculation:
Calculated volume   316.6 Å³ per cell
E   -6.01 eV per atom

Record 6
First-principles (PBE) data for Tb4Si3Pd after structural relaxation, as listed in OQMD via LeMat-Bulk.

Lattice parameters (Å, degrees): 5.786 3.927 7.875 90.00 90.92 90.00
Positions (direct):
1 Pd 0.372 0.500 0.038
2 Si 0.125 0.500 0.541
3 Si 0.634 0.000 0.958
4 Si 0.874 0.000 0.464
5 Tb 0.881 0.500 0.177
6 Tb 0.120 0.000 0.831
7 Tb 0.378 0.000 0.313
8 Tb 0.616 0.500 0.678

Values from the calculation:
Calculated volume   178.9 Å³ per cell
E   -5.80 eV per atom

Record 7
First-principles (PBE) data for TbSiPd after structural relaxation, as listed in OQMD via LeMat-Bulk.

Lattice parameters (Å, degrees): 7.041 4.321 7.496 90.00 90.00 90.00
Positions (direct):
1 Pd 0.809 0.250 0.082
2 Pd 0.191 0.750 0.918
3 Pd 0.309 0.250 0.418
4 Pd 0.691 0.750 0.582
5 Tb 0.498 0.750 0.202
6 Tb 0.002 0.250 0.702
7 Tb 0.998 0.750 0.298
8 Tb 0.502 0.250 0.798
9 Si 0.303 0.750 0.590
10 Si 0.197 0.250 0.090
11 Si 0.697 0.250 0.410
12 Si 0.803 0.750 0.910

Values from the calculation:
Calculated volume   228.0 Å³ per cell
E   -6.05 eV per atom

Record 8
First-principles (PBE) data for Tb3SiPd4 after structural relaxation, as listed in OQMD via LeMat-Bulk.

Lattice parameters (Å, degrees): 5.732 4.203 6.743 90.00 91.20 90.00
Positions (direct):
1 Pd 0.180 0.000 0.556
2 Pd 0.642 0.500 0.886
3 Pd 0.831 0.500 0.498
4 Pd 0.363 0.000 0.033
5 Si 0.614 0.000 0.668
6 Tb 0.861 0.000 0.195
7 Tb 0.380 0.500 0.333
8 Tb 0.129 0.500 0.832

Values from the calculation:
Calculated volume   162.4 Å³ per cell
E   -5.76 eV per atom

Record 9
First-principles (PBE) data for TbSi4Pd3 after structural relaxation, as listed in OQMD via LeMat-Bulk.

Lattice parameters (Å, degrees): 4.380 4.176 7.358 90.00 91.56 90.00
Positions (direct):
1 Tb 0.613 0.500 0.199
2 Pd 0.089 0.000 0.349
3 Pd 0.532 0.000 0.880
4 Pd 0.728 0.500 0.667
5 Si 0.202 0.500 0.514
6 Si 0.590 0.000 0.509
7 Si 0.203 0.500 0.856
8 Si 0.044 0.000 0.026

Values from the calculation:
Calculated volume   134.5 Å³ per cell
E   -5.83 eV per atom

Record 10
First-principles (PBE) data for TbSi2TcPd after structural relaxation, as listed in OQMD via LeMat-Bulk.

Lattice parameters (Å, degrees): 5.774 5.774 5.774 137.91 137.91 61.03
Positions (direct):
1 Tc 0.000 0.000 0.000
2 Tb 0.250 0.750 0.500
3 Pd 0.500 0.500 0.000
4 Si 0.873 0.373 0.500
5 Si 0.627 0.127 0.500

Values from the calculation:
Calculated volume   85.5 Å³ per cell
E   -7.03 eV per atom

Record 11
First-principles (PBE) data for TbYSi4Pd2 after structural relaxation, as listed in OQMD via LeMat-Bulk.

Lattice parameters (Å, degrees): 4.113 8.856 8.856 26.62 90.00 90.00
Positions (direct):
1 Pd 0.500 0.827 0.827
2 Pd 0.000 0.173 0.173
3 Si 0.000 0.034 0.034
4 Si 0.500 0.965 0.965
5 Si 0.500 0.249 0.249
6 Si 0.000 0.751 0.751
7 Y 0.000 0.400 0.400
8 Tb 0.500 0.601 0.601

Values from the calculation:
Calculated volume   144.5 Å³ per cell
E   -6.21 eV per atom

Record 12
First-principles (PBE) data for TbY2Si4Pd4 after structural relaxation, as listed in OQMD via LeMat-Bulk.

Lattice parameters (Å, degrees): 7.958 7.958 7.958 149.92 128.02 61.23
Positions (direct):
1 Pd 0.624 0.325 0.299
2 Pd 0.376 0.675 0.701
3 Pd 0.974 0.675 0.299
4 Pd 0.026 0.325 0.701
5 Y 0.376 0.876 0.500
6 Y 0.624 0.124 0.500
7 Si 0.682 0.500 0.182
8 Si 0.318 0.500 0.818
9 Si 0.781 0.781 0.000
10 Si 0.219 0.219 0.000
11 Tb 0.000 0.000 0.000

Values from the calculation:
Calculated volume   197.3 Å³ per cell
E   -6.41 eV per atom